Computed, not measured: crystalline Pr3InGa2Pd9 at its relaxed geometry at the PBE level of DFT.

Unit cell a=5.766 b=5.766 c=11.807 alpha=90.00 beta=90.00 gamma=120.00
Atoms (fractional coordinates):
Pr (0.000, 0.000, 0.000)
Pr (0.333, 0.667, 0.755)
Pr (0.667, 0.333, 0.245)
In (0.000, 0.000, 0.500)
Ga (0.333, 0.667, 0.161)
Ga (0.667, 0.333, 0.839)
Pd (0.000, 0.500, 0.000)
Pd (0.163, 0.325, 0.314)
Pd (0.163, 0.837, 0.314)
Pd (0.325, 0.163, 0.686)
Pd (0.500, 0.000, 0.000)
Pd (0.500, 0.500, 0.000)
Pd (0.675, 0.837, 0.314)
Pd (0.837, 0.163, 0.686)
Pd (0.837, 0.675, 0.686)

Calculated density (g/cm3): 7.99
Crystal system: trigonal
Spin magnetization (μB per formula unit): 0.00
SG: P-3m1, No. 164
E_form (eV per formula unit): -8.6
Uncorrected energy (eV/atom): -5.23

***

Computed, not measured: crystalline Nb2InCu at its relaxed geometry at the PBE level of DFT.

Unit cell a=3.947 b=3.947 c=4.489 alpha=90.00 beta=90.00 gamma=90.00
Atoms (fractional coordinates):
Nb (0.000, 0.500, 0.000)
Nb (0.500, 0.000, 0.000)
In (0.000, 0.000, 0.500)
Cu (0.500, 0.500, 0.500)

Calculated density (g/cm3): 8.65
Crystal system: tetragonal
Spin magnetization (μB per formula unit): 0.00
SG: P4/mmm, No. 123
E_form (eV per formula unit): 0.1
Uncorrected energy (eV/atom): -6.71

***

Computed, not measured: crystalline TbYSc3 at its relaxed geometry at the PBE level of DFT.

Unit cell a=9.566 b=9.566 c=6.251 alpha=100.07 beta=100.07 gamma=81.58
Atoms (fractional coordinates):
Tb (0.079, 0.921, 0.750)
Tb (0.188, 0.812, 0.250)
Tb (0.812, 0.188, 0.750)
Tb (0.921, 0.079, 0.250)
Y (0.321, 0.471, 0.043)
Y (0.471, 0.321, 0.543)
Y (0.529, 0.679, 0.457)
Y (0.679, 0.529, 0.957)
Sc (0.020, 0.388, 0.154)
Sc (0.121, 0.280, 0.646)
Sc (0.205, 0.582, 0.553)
Sc (0.280, 0.121, 0.146)
Sc (0.388, 0.020, 0.654)
Sc (0.418, 0.795, 0.947)
Sc (0.582, 0.205, 0.053)
Sc (0.612, 0.980, 0.346)
Sc (0.720, 0.879, 0.854)
Sc (0.795, 0.418, 0.447)
Sc (0.879, 0.720, 0.354)
Sc (0.980, 0.612, 0.846)

Calculated density (g/cm3): 4.62
ΔE to the lowest computed polymorph (meV/atom): 0
Crystal system: monoclinic
Spin magnetization (μB per formula unit): 0.00
SG: C2/c, No. 15
E_form (eV per formula unit): 0.3
Uncorrected energy (eV/atom): -5.96

***

Computed, not measured: crystalline Cs4Sm3HoSe8 at its relaxed geometry at the PBE level of DFT.

Unit cell a=9.768 b=9.768 c=9.768 alpha=52.59 beta=52.59 gamma=52.59
Atoms (fractional coordinates):
Cs (0.000, 0.000, 0.000)
Cs (0.000, 0.500, 0.500)
Cs (0.500, 0.000, 0.500)
Cs (0.500, 0.500, 0.000)
Sm (0.000, 0.000, 0.500)
Sm (0.000, 0.500, 0.000)
Sm (0.500, 0.000, 0.000)
Ho (0.500, 0.500, 0.500)
Se (0.230, 0.230, 0.230)
Se (0.235, 0.726, 0.726)
Se (0.274, 0.274, 0.765)
Se (0.274, 0.765, 0.274)
Se (0.726, 0.235, 0.726)
Se (0.726, 0.726, 0.235)
Se (0.765, 0.274, 0.274)
Se (0.770, 0.770, 0.770)

Calculated density (g/cm3): 5.43
Crystal system: trigonal
Spin magnetization (μB per formula unit): 0.00
SG: R-3m, No. 166
Formation energy (no corrections) (eV/atom): -1.727
Uncorrected energy (eV/atom): -4.85

***

Computed, not measured: crystalline BePAu at its relaxed geometry at the PBE level of DFT.

Unit cell a=3.665 b=3.665 c=7.819 alpha=90.00 beta=90.00 gamma=120.00
Atoms (fractional coordinates):
Be (0.333, 0.667, 0.250)
Be (0.667, 0.333, 0.750)
P (0.333, 0.667, 0.750)
P (0.667, 0.333, 0.250)
Au (0.000, 0.000, 0.000)
Au (0.000, 0.000, 0.500)

Calculated density (g/cm3): 8.65
Crystal system: hexagonal
Spin magnetization (μB per formula unit): 0.00
SG: P6_3/mmc, No. 194
E_form (eV per formula unit): 0.4
Uncorrected energy (eV/atom): -4.01

***

Computed, not measured: crystalline Co2AgRh at its relaxed geometry at the PBE level of DFT.

Unit cell a=4.446 b=4.446 c=2.770 alpha=90.00 beta=90.00 gamma=90.00
Atoms (fractional coordinates):
Co (0.000, 0.500, 0.000)
Co (0.500, 0.000, 0.000)
Ag (0.000, 0.000, 0.500)
Rh (0.500, 0.500, 0.500)

Calculated density (g/cm3): 9.96
Crystal system: tetragonal
Spin magnetization (μB per formula unit): 4.35
SG: P4/mmm, No. 123
E_form (eV per formula unit): 1.5
Uncorrected energy (eV/atom): -5.74